A relaxed structure of PaNiW. Source: Alexandria via LeMat-Bulk, functional GGA-PBE.

For the electronic total energy, the calculation gives -8.831 eV per atom. Its formation energy is 13.4 kcal/mol of atoms. Its total magnetization is 0.00 Bohr magnetons per cell.

The space group is R-3m (No. 166, hexagonal axes) and the conventional cell measures 3.9892, 3.9892 and 26.6222 Å, with angles of 90.00, 90.00 and 120.00 degrees. Symmetry generates all atoms from Pa at (0.0000, 0.0000, 0.1060), Ni at (0.0000, 0.0000, 0.3013), W at (0.0000, 0.0000, 0.0000) and W at (0.0000, 0.0000, 0.5000).